(1)
Compound: CdAgF4
Source: the Alexandria database
Functional: PBE
Structure: relaxed

Cell lengths 6.7735, 6.7735, 6.7735 Å; angles 131.62, 131.62, 70.83 degrees
Element x y z (fractional)
Cd: 0.2500 0.2500 0.0000
Cd: 0.7500 0.7500 0.0000
Ag: 0.0000 0.5000 0.5000
Ag: 0.5000 0.0000 0.5000
F: 0.0635 0.5635 0.8947
F: 0.1688 0.0635 0.5000
F: 0.3312 0.8312 0.8947
F: 0.4365 0.3312 0.5000
F: 0.5635 0.6688 0.5000
F: 0.6688 0.1688 0.1053
F: 0.8312 0.9365 0.5000
F: 0.9365 0.4365 0.1053

The formation energy (no corrections) is -1660.4 meV/atom.

(2)
Compound: Cd2Ag5F12
Source: the Alexandria database
Functional: PBE
Structure: relaxed

Cell lengths 7.0179, 7.0179, 7.6588 Å; angles 104.99, 104.99, 58.22 degrees
Element x y z (fractional)
Cd: 0.2494 0.7506 0.0000
Cd: 0.7506 0.2494 0.0000
Ag: 0.0000 0.0000 0.5000
Ag: 0.2631 0.2631 0.0475
Ag: 0.3116 0.3116 0.5886
Ag: 0.6884 0.6884 0.4114
Ag: 0.7369 0.7369 0.9525
F: 0.0524 0.0524 0.8544
F: 0.0801 0.5335 0.8564
F: 0.0804 0.6728 0.5046
F: 0.3272 0.9196 0.4954
F: 0.4665 0.9199 0.1436
F: 0.4803 0.4803 0.1803
F: 0.5197 0.5197 0.8197
F: 0.5335 0.0801 0.8564
F: 0.6728 0.0804 0.5046
F: 0.9196 0.3272 0.4954
F: 0.9199 0.4665 0.1436
F: 0.9476 0.9476 0.1456

The value obtained for the density of states at the Fermi level is 0.47 states/eV/atom. The formation energy (no corrections) is -1401.4 meV/atom.